# 1
Compound: CaLaNi2
Source: Alexandria
Functional: PBE-GGA
Structure: optimized geometry

The structure in extended XYZ format:
```
4
Lattice="-1.094 -3.851 -0.110 2.427 -2.828 1.466 -2.508 -1.536 6.598" Properties=species:S:1:pos:R:3 pbc="T T T"
Ni -0.627 -4.098 4.059
Ni -2.469 -1.545 6.517
La -0.881 -6.161 5.966
Ca -0.294 -2.054 1.989
```

Values from the calculation:
Its space group is C2/m.

=====

# 2
Compound: Ca4LaNi
Source: Alexandria
Functional: PBE-GGA
Structure: optimized geometry

The structure in extended XYZ format:
```
6
Lattice="0.000 4.794 4.794 4.794 0.000 4.794 4.794 4.794 0.000" Properties=species:S:1:pos:R:3 pbc="T T T"
Ca 5.992 5.992 3.596
Ca 3.596 5.992 5.992
Ca 5.992 3.596 5.992
Ca 3.596 3.596 3.596
La 7.191 7.191 7.191
Ni 0.000 0.000 0.000
```

Values from the calculation:
Its space group is F-43m.

=====

Calculated ΔE_f, -23, 643 meV/atom (same order as the records).
Calculated uncorrected energy, -4.65, -2.48 eV/atom (same order as the records).